[1]
The following is a PBE calculation of a relaxed DyErI crystal, from Alexandria via LeMat-Bulk.

Geometry as extended XYZ:
```
3
Lattice="3.806 0.000 0.000 -1.903 3.296 0.000 0.000 0.000 7.505" Properties=species:S:1:pos:R:3 pbc="T T T"
Dy 0.000 0.000 0.000
Er 1.903 1.099 2.600
I 0.000 2.197 5.045
```

- N(E_F): 3.81 states/eV/cell
- Formation energy without anion corrections: -1.50 eV per formula unit


[2]
The following is a PBE calculation of a relaxed ZnSiAu2 crystal, from Alexandria via LeMat-Bulk.

Geometry as extended XYZ:
```
4
Lattice="3.295 0.000 0.000 0.000 3.522 0.000 0.000 0.000 5.745" Properties=species:S:1:pos:R:3 pbc="T T T"
Zn 0.000 0.000 0.000
Si 0.000 0.000 2.872
Au 1.647 1.761 1.437
Au 1.647 1.761 4.307
```

- N(E_F): 0.95 states/eV/cell
- Formation energy without anion corrections: 0.24 eV per formula unit


[3]
The following is a PBE calculation of a relaxed HfPaSbTe crystal, from Alexandria via LeMat-Bulk.

Geometry as extended XYZ:
```
4
Lattice="0.000 3.633 3.633 3.633 0.000 3.633 3.633 3.633 0.000" Properties=species:S:1:pos:R:3 pbc="T T T"
Hf 0.000 0.000 0.000
Pa 3.633 3.633 3.633
Sb 1.817 1.817 1.817
Te 5.450 5.450 5.450
```

- N(E_F): 3.66 states/eV/cell
- Formation energy without anion corrections: -2.03 eV per formula unit


no.,size of the total moment (μB/atom)
1,0.057
2,0.000
3,0.000